LaPr2Sm3Te6 | PBE-GGA | optimized geometry

Output
As for the density of states at the Fermi level: 6.61 states/eV/cell. For the uncorrected formation energy, the calculation gives -1667 kJ/mol of formula units. The total DFT energy (no corrections) comes out at -64.8 eV for the cell shown. As for the symmetry: C2/m (12).

Cell: 4.4783 9.0393 10.0553 Å, 103.15 102.87 90.00°
Fractional positions:
Te (0.3312, 0.9201, 0.6624)
Te (0.6688, 0.0799, 0.3376)
Sm (0.8332, 0.1676, 0.6663)
Te (0.0009, 0.7445, 0.0019)
La (0.5000, 0.0000, 0.0000)
Pr (0.8319, 0.6644, 0.6638)
Te (0.9991, 0.2555, 0.9981)
Sm (0.1668, 0.8324, 0.3337)
Te (0.6646, 0.5873, 0.3292)
Pr (0.1681, 0.3356, 0.3362)
Sm (0.5000, 0.5000, 0.0000)
Te (0.3354, 0.4127, 0.6708)